Record 1
The following is a DFT calculation (SCAN) of Si2C at its PBEsol-relaxed geometry. Values from VASP.

```
&SYSTEM
  ibrav = 0, nat = 6, ntyp = 2
/
ATOMIC_SPECIES
Si 28.09 Si.upf
C 12.01 C.upf
ATOMIC_POSITIONS crystal
Si 0.0000 0.0000 0.0000
Si 0.5000 0.5000 0.0000
Si 0.5000 0.0000 0.3631
Si 0.0000 0.5000 0.6369
C 0.5000 0.0000 0.6328
C 0.0000 0.5000 0.3672
CELL_PARAMETERS angstrom
3.1371 0.0000 0.0000
0.0000 3.1371 0.0000
0.0000 0.0000 7.2026
```

Values from the calculation:
Its crystal system is tetragonal. The raw total energy is -8.791 eV per atom. The calculation puts the uncorrected formation energy at 1.253 eV per atom. For the total moment, the calculation gives 0.00 Bohr magnetons per cell. For the density of states at the Fermi level, the calculation gives 2.8 states/eV/cell.

---

Record 2
The following is a DFT calculation (SCAN) of Si2C at its PBEsol-relaxed geometry. Values from VASP.

```
&SYSTEM
  ibrav = 0, nat = 6, ntyp = 2
/
ATOMIC_SPECIES
Si 28.09 Si.upf
C 12.01 C.upf
ATOMIC_POSITIONS crystal
Si 0.0000 0.0000 0.0000
Si 0.5000 0.5000 0.0000
Si 0.5000 0.2956 0.5912
Si 0.5000 0.7044 0.4088
C 0.0000 0.3923 0.7846
C 0.0000 0.6077 0.2154
CELL_PARAMETERS angstrom
2.8802 0.0000 0.0000
0.0000 4.1390 0.0000
0.0000 -2.0695 6.4739
```

Values from the calculation:
Its crystal system is orthorhombic. The raw total energy is -9.248 eV per atom. The calculation puts the uncorrected formation energy at 0.795 eV per atom. For the total moment, the calculation gives 0.00 Bohr magnetons per cell. For the density of states at the Fermi level, the calculation gives 1.1 states/eV/cell.

---

uncorrected formation energy of number 1 (Si2C)? 1.253 eV per atom

---

total moment of number 1 (Si2C)? 0.00 Bohr magnetons per cell

---

Look up the raw total energy of the second one. -9.248 eV per atom